## AcHgSb (PBE)

Data for a relaxed AcHgSb crystal.

Lattice parameters (Å, degrees): 5.4770 5.4770 5.4770 60.00 60.00 60.00
Last column: nearest neighbours and their distance in Å.
Atoms (fractional coordinates):
Sb 0.5000 0.5000 0.5000  4 Ac 3.35
Ac 0.2500 0.2500 0.2500  4 Hg 3.35, 4 Sb 3.35
Hg 0.0000 0.0000 0.0000  4 Ac 3.35

## Properties
Energy above the lowest structure with this stoichiometry: 136 meV per atom

=====

## AcHgSb2 (PBE)

Data for a relaxed AcHgSb2 crystal.

Lattice parameters (Å, degrees): 4.7050 4.7050 10.8924 90.00 90.00 90.00
Last column: nearest neighbours and their distance in Å.
Atoms (fractional coordinates):
Ac 0.0000 0.5000 0.2619  8 Sb 3.39-3.50, 4 Hg 3.70
Ac 0.5000 0.0000 0.7381  8 Sb 3.39-3.50, 4 Hg 3.70
Hg 0.5000 0.5000 0.0000  4 Sb 3.22, 4 Hg 3.33
Hg 0.0000 0.0000 0.0000  4 Sb 3.22, 4 Hg 3.33
Sb 0.5000 0.0000 0.2022  4 Hg 3.22, 4 Ac 3.39
Sb 0.0000 0.5000 0.7978  4 Hg 3.22, 4 Ac 3.39
Sb 0.0000 0.0000 0.5000  4 Sb 3.33, 4 Ac 3.50
Sb 0.5000 0.5000 0.5000  4 Sb 3.33, 4 Ac 3.50

## Properties
Energy above the lowest structure with this stoichiometry: 4 meV per atom

=====

## Ac2HgSb (PBE)

Data for a relaxed Ac2HgSb crystal.

Lattice parameters (Å, degrees): 4.6234 4.6234 8.7328 74.65 74.65 60.00
Last column: nearest neighbours and their distance in Å.
Atoms (fractional coordinates):
Sb 0.0000 0.0000 0.0000  6 Ac 3.33
Ac 0.7467 0.7467 0.7599  3 Sb 3.33, 3 Hg 3.43
Ac 0.2533 0.2533 0.2401  3 Sb 3.33, 3 Hg 3.43
Hg 0.5000 0.5000 0.5000  6 Ac 3.43

## Properties
Energy above the lowest structure with this stoichiometry: 58 meV per atom

=====

## Ac6Hg5Sb (PBE)

Data for a relaxed Ac6Hg5Sb crystal.

Lattice parameters (Å, degrees): 5.7458 9.9731 9.9731 120.65 106.71 106.71
Last column: nearest neighbours and their distance in Å.
Atoms (fractional coordinates):
Sb 0.0000 0.0000 0.0000  8 Ac 3.48-3.49
Ac 0.2471 0.0826 0.4122  7 Hg 3.44-3.54, 1 Sb 3.48
Ac 0.7529 0.5878 0.9174  7 Hg 3.44-3.54, 1 Sb 3.48
Ac 0.7460 0.2462 0.2462  2 Sb 3.49, 6 Hg 3.52-3.63
Ac 0.2540 0.7538 0.7538  2 Sb 3.49, 6 Hg 3.52-3.63
Ac 0.2471 0.4122 0.0826  7 Hg 3.44-3.54, 1 Sb 3.48
Ac 0.7529 0.9174 0.5878  7 Hg 3.44-3.54, 1 Sb 3.48
Hg 0.5000 0.1753 0.8247  8 Ac 3.44-3.63
Hg 0.0000 0.3336 0.6664  8 Ac 3.51-3.54
Hg 0.5000 0.5000 0.5000  8 Ac 3.50-3.53
Hg 0.0000 0.6664 0.3336  8 Ac 3.51-3.54
Hg 0.5000 0.8247 0.1753  8 Ac 3.44-3.63

=====

## AcHgSb (PBE)

Data for a relaxed AcHgSb crystal.

Lattice parameters (Å, degrees): 4.7280 4.8982 4.8982 120.00 90.00 90.00
Last column: nearest neighbours and their distance in Å.
Atoms (fractional coordinates):
Sb 0.7222 0.3333 0.6667  3 Hg 3.07
Ac 0.3045 0.6667 0.3333  3 Hg 3.23, 3 Sb 3.45
Hg 0.9732 0.0000 0.0000  3 Sb 3.07, 3 Ac 3.23

## Properties
Energy above the lowest structure with this stoichiometry: 4 meV per atom

=====

## Ac2HgSb (PBE)

Data for a relaxed Ac2HgSb crystal.

Lattice parameters (Å, degrees): 4.9356 4.5873 13.3712 99.88 90.00 90.00
Last column: nearest neighbours and their distance in Å.
Atoms (fractional coordinates):
Ac 0.7500 0.6849 0.3698  5 Sb 3.34-3.37
Ac 0.2500 0.3151 0.6302  5 Sb 3.34-3.37
Ac 0.7500 0.9365 0.8730  1 Sb 3.28, 6 Hg 3.42-3.60
Ac 0.2500 0.0635 0.1270  1 Sb 3.28, 6 Hg 3.42-3.60
Hg 0.2500 0.4582 0.9164  2 Hg 3.31, 6 Ac 3.42-3.60
Hg 0.7500 0.5418 0.0836  2 Hg 3.31, 6 Ac 3.42-3.60
Sb 0.2500 0.1882 0.3763  6 Ac 3.28-3.37
Sb 0.7500 0.8118 0.6237  6 Ac 3.28-3.37

## Properties
Energy above the lowest structure with this stoichiometry: 0 meV per atom

=====

## AcHgSb3 (PBE)

Data for a relaxed AcHgSb3 crystal.

Lattice parameters (Å, degrees): 5.3171 6.4367 9.9204 110.44 90.00 90.00
Last column: nearest neighbours and their distance in Å.
Atoms (fractional coordinates):
Ac 0.7500 0.1749 0.7810  3 Hg 3.38-3.60, 9 Sb 3.45-3.72
Ac 0.2500 0.8251 0.2190  3 Hg 3.38-3.60, 9 Sb 3.45-3.72
Hg 0.2500 0.5768 0.8578  3 Sb 2.96-3.02
Hg 0.7500 0.4232 0.1422  3 Sb 2.96-3.02
Sb 0.7500 0.2082 0.4224  4 Sb 2.92-3.26
Sb 0.2500 0.7918 0.5776  4 Sb 2.92-3.26
Sb 0.2500 0.2009 0.0420  2 Hg 3.02
Sb 0.7500 0.7172 0.4480  4 Sb 2.92-3.26, 1 Hg 2.96
Sb 0.2500 0.2828 0.5520  4 Sb 2.92-3.26, 1 Hg 2.96
Sb 0.7500 0.7991 0.9580  2 Hg 3.02

=====

## AcHg4Sb (PBE)

Data for a relaxed AcHg4Sb crystal.

Lattice parameters (Å, degrees): 6.2074 6.2074 6.2074 60.00 60.00 60.00
Last column: nearest neighbours and their distance in Å.
Atoms (fractional coordinates):
Sb 0.0000 0.0000 0.0000  12 Hg 3.64, 4 Ac 3.80
Ac 0.2500 0.2500 0.2500  12 Hg 3.64, 4 Sb 3.80
Hg 0.6261 0.6261 0.1216  6 Hg 3.08-3.13
Hg 0.6261 0.1216 0.6261  6 Hg 3.08-3.13
Hg 0.6261 0.6261 0.6261  6 Hg 3.08-3.13
Hg 0.1217 0.6261 0.6261  6 Hg 3.08-3.13

=====

## AcHg2Sb (PBE)

Data for a relaxed AcHg2Sb crystal.

Lattice parameters (Å, degrees): 5.2999 4.7532 4.7532 90.00 90.00 90.00
Last column: nearest neighbours and their distance in Å.
Atoms (fractional coordinates):
Sb 0.5000 0.0000 0.0000  4 Ac 3.36, 8 Hg 3.56
Ac 0.5000 0.5000 0.5000  4 Sb 3.36, 8 Hg 3.56
Hg 0.0000 0.0000 0.5000  4 Hg 3.36, 4 Ac 3.56, 4 Sb 3.56
Hg 0.0000 0.5000 0.0000  4 Hg 3.36, 4 Ac 3.56, 4 Sb 3.56

=====

## Ac4Hg3Sb (PBE)

Data for a relaxed Ac4Hg3Sb crystal.

Lattice parameters (Å, degrees): 5.6809 5.6809 9.2111 107.95 107.95 89.99
Last column: nearest neighbours and their distance in Å.
Atoms (fractional coordinates):
Sb 0.5000 0.0000 0.0000  8 Ac 3.51
Ac 0.3755 0.3753 0.7509  6 Hg 3.46-3.58, 2 Sb 3.51
Ac 0.6245 0.6247 0.2491  6 Hg 3.46-3.58, 2 Sb 3.51
Ac 0.1246 0.1246 0.2491  6 Hg 3.46-3.58, 2 Sb 3.51
Ac 0.8754 0.8754 0.7509  6 Hg 3.46-3.58, 2 Sb 3.51
Hg 0.0000 0.5000 0.0000  8 Ac 3.51
Hg 0.7564 0.2563 0.5123  8 Ac 3.46-3.58
Hg 0.2436 0.7437 0.4877  8 Ac 3.46-3.58

=====

Number 1: formation energy without anion corrections -0.5925 eV per atom. Number 2: formation energy without anion corrections -0.5794 eV per atom. Number 3: formation energy without anion corrections -0.7297 eV per atom. Number 4: formation energy without anion corrections -0.5498 eV per atom. Number 5: formation energy without anion corrections -0.7248 eV per atom. Number 6: formation energy without anion corrections -0.7877 eV per atom. Number 7: formation energy without anion corrections -0.3636 eV per atom. Number 8: formation energy without anion corrections -0.2109 eV per atom. Number 9: formation energy without anion corrections -0.5505 eV per atom. Number 10: formation energy without anion corrections -0.5858 eV per atom.